TiSnAs3 | PBE | relaxed

calculated formation energy = 0.3 eV per formula unit
SG = Pm-3m (221)
relative energy among the computed polymorphs = 0.00 eV per formula unit

Lattice parameters (Å, degrees): 4.9311 4.9311 4.9311 90.00 90.00 90.00
Closest atoms and distances in Å follow each position.
Fractional positions:
Ti  0.0000  0.0000  0.0000  6 As 2.47
Sn  0.5000  0.5000  0.5000  12 As 3.49
As  0.0000  0.0000  0.5000  2 Ti 2.47
As  0.0000  0.5000  0.0000  2 Ti 2.47
As  0.5000  0.0000  0.0000  2 Ti 2.47